No. 1
First-principles (PBE-GGA) data for a relaxed structure of TcHg2F, as listed in Alexandria.

Summary:
magnetization = 0.78 μB/atom
formation energy without anion corrections = 0.205 eV/atom

abc: 7.232 7.232 5.981
angles: 90.00 90.00 90.00
Space group I-42d (No. 122)
One atom of each set of equivalent atoms:
Tc: 0.000 0.000 0.000 x4
Hg: 0.222 0.250 0.625 x8
F: 0.000 0.000 0.500 x4

---

No. 2
First-principles (PBE-GGA) data for a relaxed structure of Tc2Hg3F8, as listed in Alexandria.

Summary:
magnetization = 0.05 μB/atom
formation energy without anion corrections = -1.296 eV/atom

abc: 5.8301 5.8301 31.1239
angles: 90.00 90.00 120.00
Space group R-3m (No. 166, hexagonal axes)
One atom of each set of equivalent atoms:
Tc: 0.0000 0.0000 0.0369 x6
Hg: 0.0000 0.0000 0.1923 x6
Hg: 0.0000 0.0000 0.5000 x3
F: 0.0000 0.0000 0.1038 x6
F: 0.0314 0.5157 0.2919 x18

---

No. 3
First-principles (PBE-GGA) data for a relaxed structure of TcHgF, as listed in Alexandria.

Summary:
magnetization = 0.00 μB/atom
formation energy without anion corrections = -0.571 eV/atom

abc: 4.993 3.201 8.032
angles: 90.00 97.49 90.00
Space group P2_1/m (No. 11)
One atom of each set of equivalent atoms:
Tc: 0.164 0.250 0.021 x2
Hg: 0.056 0.250 0.350 x2
F: 0.462 0.250 0.865 x2

---

No. 4
First-principles (PBE-GGA) data for a relaxed structure of Tc2HgF11, as listed in Alexandria.

Summary:
magnetization = 0.36 μB/atom
formation energy without anion corrections = -1.886 eV/atom

abc: 9.014 9.031 10.470
angles: 90.00 90.00 90.00
Space group Ibam (No. 72)
One atom of each set of equivalent atoms:
Tc: 0.161 0.160 0.000 x8
Hg: 0.000 0.500 0.250 x4
F: 0.000 0.000 0.000 x4
F: 0.056 0.269 0.131 x16
F: 0.194 0.196 0.500 x8
F: 0.229 0.446 0.369 x16

---

No. 5
First-principles (PBE-GGA) data for a relaxed structure of TcHg2F5, as listed in Alexandria.

Summary:
magnetization = 0.38 μB/atom
formation energy without anion corrections = -1.539 eV/atom

abc: 5.235 6.204 6.238
angles: 80.83 65.20 67.68
Space group P1 (No. 1)
One atom of each set of equivalent atoms:
Tc: 0.000 0.000 0.000 x1
Hg: 0.236 0.485 0.436 x1
Hg: 0.673 0.483 0.564 x1
F: 0.129 0.993 0.660 x1
F: 0.176 0.660 0.001 x1
F: 0.340 0.040 0.000 x1
F: 0.755 0.328 0.000 x1
F: 0.790 0.994 0.340 x1

---

No. 6
First-principles (PBE-GGA) data for a relaxed structure of TcHg2F, as listed in Alexandria.

Summary:
magnetization = 0.68 μB/atom
formation energy without anion corrections = 0.247 eV/atom

abc: 6.663 6.663 6.663
angles: 90.00 90.00 90.00
Space group Fm-3m (No. 225)
One atom of each set of equivalent atoms:
Tc: 0.000 0.000 0.000 x4
Hg: 0.250 0.250 0.250 x8
F: 0.000 0.000 0.500 x4

---

No. 7
First-principles (PBE-GGA) data for a relaxed structure of Tc2HgF8, as listed in Alexandria.

Summary:
magnetization = 0.18 μB/atom
formation energy without anion corrections = -1.619 eV/atom

abc: 4.035 7.924 7.936
angles: 119.79 90.07 90.07
Space group P-1 (No. 2)
One atom of each set of equivalent atoms:
Tc: 0.159 0.166 0.334 x2
Hg: 0.500 0.500 0.000 x1
F: 0.161 0.922 0.113 x2
F: 0.163 0.189 0.578 x2
F: 0.163 0.388 0.310 x2
F: 0.341 0.834 0.666 x2

---

No. 8
First-principles (PBE-GGA) data for a relaxed structure of TiTc2HgF, as listed in Alexandria.

Summary:
magnetization = 1.12 μB/atom
formation energy without anion corrections = 1.790 eV/atom

abc: 5.234 5.234 5.135
angles: 90.00 90.00 90.00
Space group P4/mmm (No. 123)
One atom of each set of equivalent atoms:
Ti: 0.000 0.000 0.000 x1
Tc: 0.000 0.500 0.500 x2
Hg: 0.000 0.000 0.500 x1
F: 0.500 0.500 0.000 x1

---

No. 9
First-principles (PBE-GGA) data for a relaxed structure of TlTcHg2F8, as listed in Alexandria.

Summary:
magnetization = 0.17 μB/atom
formation energy without anion corrections = -1.665 eV/atom

abc: 4.748 5.704 7.866
angles: 89.96 89.78 77.69
Space group P-1 (No. 2)
One atom of each set of equivalent atoms:
Tl: 0.000 0.000 0.000 x1
Tc: 0.000 0.000 0.500 x1
Hg: 0.498 0.499 0.244 x2
F: 0.073 0.217 0.680 x2
F: 0.075 0.216 0.319 x2
F: 0.389 0.790 0.500 x2
F: 0.434 0.279 0.999 x2

---

No. 10
First-principles (PBE-GGA) data for a relaxed structure of TlTcHg2F6, as listed in Alexandria.

Summary:
magnetization = 0.25 μB/atom
formation energy without anion corrections = -1.676 eV/atom

abc: 5.659 9.371 9.444
angles: 90.00 90.00 90.00
Space group Pmmn (No. 59, origin choice 2)
One atom of each set of equivalent atoms:
Tl: 0.250 0.250 0.170 x2
Tc: 0.250 0.750 0.190 x2
Hg: 0.250 0.008 0.511 x4
F: 0.012 0.750 0.041 x4
F: 0.013 0.750 0.337 x4
F: 0.250 0.542 0.192 x4

---

Ordered E_tot results: -3.005, -4.112, -4.751, -4.859, -4.080, -2.963, -4.892, -4.370, -4.024, -4.133; unit eV/atom.